[1]
{
  "formula": "SrNiMo2",
  "functional": "PBE",
  "state": "relaxed",
  "cell": [[-1.9150, 1.9150, 5.1102], [1.9150, -1.9150, 5.1102], [1.9150, 1.9150, -5.1102]],
  "species": ["Sr", "Ni", "Mo", "Mo"],
  "frac_coords": [[0.0000, 0.0000, 0.0000], [0.5000, 0.5000, 0.0000], [0.2500, 0.7500, 0.5000], [0.7500, 0.2500, 0.5000]],
  "crystal_system": "tetragonal",
  "magnetic_moment_mub_per_cell": 0.0,
  "total_energy_ev_per_atom": -6.35,
  "e_above_lowest_polymorph_mev_per_atom": 478,
  "spacegroup": "I4/mmm (139)"
}


[2]
{
  "formula": "Mg2Si",
  "functional": "PBE",
  "state": "relaxed",
  "cell": [[0.0000, 3.9559, 3.9559], [3.9559, 0.0000, 3.9559], [3.9559, 3.9559, 0.0000]],
  "species": ["Mg", "Mg", "Mg", "Mg", "Si", "Si"],
  "frac_coords": [[0.0000, 0.0000, 0.0000], [0.0000, 0.0000, 0.5000], [0.0000, 0.5000, 0.0000], [0.5000, 0.0000, 0.0000], [0.3750, 0.3750, 0.3750], [0.6250, 0.6250, 0.6250]],
  "crystal_system": "cubic",
  "magnetic_moment_mub_per_cell": 0.0,
  "formation_energy_uncorrected_ev_per_fu": 1.22,
  "total_energy_ev_per_atom": -2.46,
  "spacegroup": "Fd-3m (227)"
}


[3]
{
  "formula": "Tb5Sm6Mg",
  "functional": "PBE",
  "state": "relaxed",
  "cell": [[5.9015, -5.3657, 0.0000], [5.9015, 5.3657, 0.0000], [-1.1048, 0.0000, 6.0953]],
  "species": ["Tb", "Tb", "Tb", "Tb", "Tb", "Sm", "Sm", "Sm", "Sm", "Sm", "Sm", "Mg"],
  "frac_coords": [[0.0000, 0.0000, 0.0000], [0.1661, 0.8339, 0.5000], [0.3345, 0.6655, 0.0000], [0.6655, 0.3345, 0.0000], [0.8339, 0.1661, 0.5000], [0.0855, 0.4181, 0.2461], [0.2487, 0.2487, 0.7489], [0.4181, 0.0855, 0.2461], [0.5819, 0.9145, 0.7539], [0.7513, 0.7513, 0.2511], [0.9145, 0.5819, 0.7539], [0.5000, 0.5000, 0.5000]],
  "crystal_system": "monoclinic",
  "magnetic_moment_mub_per_cell": 0.0,
  "total_energy_ev_per_atom": -4.40,
  "spacegroup": "C2/m (12)"
}